The following is a DFT calculation (GGA-PBE) of TbSi2IrOs after structural relaxation.

abc: 4.148 4.148 9.771
angles: 90.00 90.00 90.00
Space group I-4m2 (No. 119)
Unique sites:
Tb1 0.000 0.000 0.000 (multiplicity 2)
Si1 0.000 0.000 0.374 (multiplicity 4)
Ir1 0.000 0.500 0.750 (multiplicity 2)
Os1 0.000 0.500 0.250 (multiplicity 2)

Output
- formation energy without anion corrections (eV/atom) = -0.93
- raw total energy (hartree per atom) = -0.2955
- crystal system = tetragonal